No. 1
The following is a DFT calculation (PBE) of a relaxed structure of Lu4SnPN2.

abc: 3.5252 3.5252 13.5182
angles: 90.00 90.00 120.00
Positions (direct):
Lu (0.3333, 0.6667, 0.1796)
Lu (0.6667, 0.3333, 0.3706)
Lu (0.6667, 0.3333, 0.6294)
Lu (0.3333, 0.6667, 0.8204)
N (0.0000, 0.0000, 0.2670)
N (0.0000, 0.0000, 0.7330)
P (0.3333, 0.6667, 0.5000)
Sn (0.6667, 0.3333, 0.0000)

calculated density: 10.02 g cm⁻³
final energy: -6.87 eV per atom


No. 2
The following is a DFT calculation (PBE) of a relaxed structure of Lu4Ta2P3N3.

abc: 5.9408 5.9408 12.5002
angles: 103.65 103.65 60.39
Positions (direct):
Lu (0.8727, 0.7029, 0.1073)
Lu (0.1998, 0.0393, 0.1075)
Lu (0.9607, 0.8002, 0.3925)
Lu (0.2971, 0.1273, 0.3927)
Lu (0.7029, 0.8727, 0.6073)
Lu (0.0393, 0.1998, 0.6075)
Lu (0.8002, 0.9607, 0.8925)
Lu (0.1273, 0.2971, 0.8927)
N (0.5000, 0.0000, 0.0000)
N (0.1732, 0.6636, 0.0003)
N (0.3364, 0.8268, 0.4997)
N (0.0000, 0.5000, 0.5000)
N (0.6636, 0.1732, 0.5003)
N (0.8268, 0.3364, 0.9997)
P (0.5823, 0.7182, 0.2488)
P (0.8819, 0.1181, 0.2500)
P (0.2818, 0.4177, 0.2512)
P (0.7182, 0.5823, 0.7488)
P (0.1181, 0.8819, 0.7500)
P (0.4177, 0.2818, 0.7512)
Ta (0.5318, 0.3676, 0.0928)
Ta (0.6324, 0.4682, 0.4072)
Ta (0.3676, 0.5318, 0.5928)
Ta (0.4682, 0.6324, 0.9072)

calculated density: 10.77 g cm⁻³
final energy: -8.19 eV per atom


No. 3
The following is a DFT calculation (PBE) of a relaxed structure of Lu4TlPN2.

abc: 3.5332 3.5332 13.6988
angles: 90.00 90.00 120.00
Positions (direct):
Lu (0.3333, 0.6667, 0.1831)
Lu (0.6667, 0.3333, 0.3726)
Lu (0.6667, 0.3333, 0.6274)
Lu (0.3333, 0.6667, 0.8169)
N (0.0000, 0.0000, 0.2703)
N (0.0000, 0.0000, 0.7297)
P (0.3333, 0.6667, 0.5000)
Tl (0.6667, 0.3333, 0.0000)

calculated density: 10.80 g cm⁻³
final energy: -6.58 eV per atom


No. 4
The following is a DFT calculation (PBE) of a relaxed structure of Lu4TlPN2.

abc: 3.5330 3.5330 13.6998
angles: 90.00 90.00 120.00
Positions (direct):
Lu (0.6667, 0.3333, 0.1274)
Lu (0.0000, 0.0000, 0.3169)
Lu (0.0000, 0.0000, 0.6831)
Lu (0.6667, 0.3333, 0.8726)
N (0.3333, 0.6667, 0.2297)
N (0.3333, 0.6667, 0.7703)
P (0.0000, 0.0000, 0.0000)
Tl (0.6667, 0.3333, 0.5000)

calculated density: 10.80 g cm⁻³
final energy: -6.58 eV per atom


No. 5
The following is a DFT calculation (PBE) of a relaxed structure of Lu4P3W2N3.

abc: 5.8768 5.8768 12.3302
angles: 103.30 103.30 60.36
Positions (direct):
Lu (0.8657, 0.7057, 0.1075)
Lu (0.2039, 0.0354, 0.1077)
Lu (0.9646, 0.7961, 0.3923)
Lu (0.2943, 0.1343, 0.3925)
Lu (0.7057, 0.8657, 0.6075)
Lu (0.0354, 0.2039, 0.6077)
Lu (0.7961, 0.9646, 0.8923)
Lu (0.1343, 0.2943, 0.8925)
N (0.5000, 0.0000, 0.0000)
N (0.8401, 0.3306, 0.0006)
N (0.6694, 0.1599, 0.4994)
N (0.0000, 0.5000, 0.5000)
N (0.3306, 0.8401, 0.5006)
N (0.1599, 0.6694, 0.9994)
P (0.2956, 0.4190, 0.2497)
P (0.8690, 0.1310, 0.2500)
P (0.5810, 0.7044, 0.2503)
P (0.4190, 0.2956, 0.7497)
P (0.1310, 0.8690, 0.7500)
P (0.7044, 0.5810, 0.7503)
W (0.5292, 0.3780, 0.0878)
W (0.6220, 0.4708, 0.4122)
W (0.3780, 0.5292, 0.5878)
W (0.4708, 0.6220, 0.9122)

calculated density: 11.19 g cm⁻³
final energy: -8.18 eV per atom


No. 6
The following is a DFT calculation (PBE) of a relaxed structure of Lu2P3W4N3.

abc: 5.7349 5.7349 11.9166
angles: 103.43 103.43 60.91
Positions (direct):
Lu (0.5338, 0.3670, 0.1098)
Lu (0.6330, 0.4662, 0.3902)
Lu (0.3670, 0.5338, 0.6098)
Lu (0.4662, 0.6330, 0.8902)
N (0.5000, 0.0000, 0.0000)
N (0.1807, 0.6598, 0.0002)
N (0.3402, 0.8193, 0.4998)
N (0.0000, 0.5000, 0.5000)
N (0.6598, 0.1807, 0.5002)
N (0.8193, 0.3402, 0.9998)
P (0.5734, 0.7957, 0.2479)
P (0.9492, 0.0508, 0.2500)
P (0.2043, 0.4266, 0.2521)
P (0.7957, 0.5734, 0.7479)
P (0.0508, 0.9492, 0.7500)
P (0.4266, 0.2043, 0.7521)
W (0.1795, 0.0480, 0.0891)
W (0.8749, 0.7071, 0.0895)
W (0.2928, 0.1251, 0.4105)
W (0.9520, 0.8205, 0.4109)
W (0.0480, 0.1795, 0.5891)
W (0.7071, 0.8749, 0.5895)
W (0.1251, 0.2928, 0.9105)
W (0.8205, 0.9520, 0.9109)

calculated density: 12.29 g cm⁻³
final energy: -9.03 eV per atom


No. 7
The following is a DFT calculation (PBE) of a relaxed structure of Y2Lu4P3N3.

abc: 6.2649 6.2649 12.9293
angles: 103.99 103.99 59.99
Positions (direct):
Lu (0.8687, 0.7021, 0.1054)
Lu (0.2010, 0.0363, 0.1054)
Lu (0.9637, 0.7990, 0.3946)
Lu (0.2979, 0.1313, 0.3946)
Lu (0.7021, 0.8687, 0.6054)
Lu (0.0363, 0.2010, 0.6054)
Lu (0.7990, 0.9637, 0.8946)
Lu (0.1313, 0.2979, 0.8946)
N (0.5000, 0.0000, 0.0000)
N (0.8457, 0.3274, 0.0002)
N (0.6726, 0.1543, 0.4998)
N (0.0000, 0.5000, 0.5000)
N (0.3274, 0.8457, 0.5002)
N (0.1543, 0.6726, 0.9998)
P (0.5829, 0.7576, 0.2499)
P (0.9239, 0.0761, 0.2500)
P (0.2424, 0.4171, 0.2501)
P (0.7576, 0.5829, 0.7499)
P (0.0761, 0.9239, 0.7500)
P (0.4171, 0.2424, 0.7501)
Y (0.5362, 0.3695, 0.1084)
Y (0.6305, 0.4638, 0.3916)
Y (0.3695, 0.5362, 0.6084)
Y (0.4638, 0.6305, 0.8916)

calculated density: 7.97 g cm⁻³
final energy: -7.51 eV per atom


No. 8
The following is a DFT calculation (PBE) of a relaxed structure of Lu4Zr2P3N3.

abc: 6.1003 6.1003 12.6716
angles: 103.92 103.92 60.07
Positions (direct):
Lu (0.7018, 0.8698, 0.1058)
Lu (0.0358, 0.2018, 0.1059)
Lu (0.7982, 0.9642, 0.3941)
Lu (0.1302, 0.2982, 0.3942)
Lu (0.8698, 0.7018, 0.6058)
Lu (0.2018, 0.0358, 0.6059)
Lu (0.9642, 0.7982, 0.8941)
Lu (0.2982, 0.1302, 0.8942)
N (0.6623, 0.1758, 0.0000)
N (0.0000, 0.5000, 0.0000)
N (0.3377, 0.8242, 0.0000)
N (0.1758, 0.6623, 0.5000)
N (0.5000, 0.0000, 0.5000)
N (0.8242, 0.3377, 0.5000)
P (0.7408, 0.5835, 0.2494)
P (0.0920, 0.9080, 0.2500)
P (0.4165, 0.2592, 0.2506)
P (0.5835, 0.7408, 0.7494)
P (0.9080, 0.0920, 0.7500)
P (0.2592, 0.4165, 0.7506)
Zr (0.3680, 0.5356, 0.1051)
Zr (0.4644, 0.6320, 0.3949)
Zr (0.5356, 0.3680, 0.6051)
Zr (0.6320, 0.4644, 0.8949)

calculated density: 8.61 g cm⁻³
final energy: -7.83 eV per atom


No. 9
The following is a DFT calculation (PBE) of a relaxed structure of Lu4PbN3.

abc: 3.4051 3.4051 25.9614
angles: 90.00 90.00 120.00
Positions (direct):
Lu (0.3333, 0.6667, 0.0505)
Lu (0.0000, 0.0000, 0.1521)
Lu (0.0000, 0.0000, 0.3479)
Lu (0.3333, 0.6667, 0.4495)
Lu (0.6667, 0.3333, 0.5505)
Lu (0.0000, 0.0000, 0.6521)
Lu (0.0000, 0.0000, 0.8479)
Lu (0.6667, 0.3333, 0.9495)
N (0.0000, 0.0000, 0.0000)
N (0.6667, 0.3333, 0.1075)
N (0.6667, 0.3333, 0.3925)
N (0.0000, 0.0000, 0.5000)
N (0.3333, 0.6667, 0.6075)
N (0.3333, 0.6667, 0.8925)
Pb (0.3333, 0.6667, 0.2500)
Pb (0.6667, 0.3333, 0.7500)

calculated density: 12.09 g cm⁻³
final energy: -7.36 eV per atom


No. 10
The following is a DFT calculation (PBE) of a relaxed structure of Lu3PbN2.

abc: 3.4236 3.4236 20.5545
angles: 90.00 90.00 120.00
Positions (direct):
Lu (0.0000, 0.0000, 0.0000)
Lu (0.6667, 0.3333, 0.1260)
Lu (0.6667, 0.3333, 0.3740)
Lu (0.0000, 0.0000, 0.5000)
Lu (0.3333, 0.6667, 0.6260)
Lu (0.3333, 0.6667, 0.8740)
N (0.3333, 0.6667, 0.0686)
N (0.3333, 0.6667, 0.4314)
N (0.6667, 0.3333, 0.5686)
N (0.6667, 0.3333, 0.9314)
Pb (0.0000, 0.0000, 0.2500)
Pb (0.0000, 0.0000, 0.7500)

calculated density: 12.10 g cm⁻³
final energy: -7.04 eV per atom


No. 11
The following is a DFT calculation (PBE) of a relaxed structure of Lu4PbSN2.

abc: 3.4792 3.4792 13.7101
angles: 90.00 90.00 120.00
Positions (direct):
Lu (0.6667, 0.3333, 0.1828)
Lu (0.0000, 0.0000, 0.3664)
Lu (0.0000, 0.0000, 0.6336)
Lu (0.6667, 0.3333, 0.8172)
N (0.3333, 0.6667, 0.2737)
N (0.3333, 0.6667, 0.7263)
Pb (0.0000, 0.0000, 0.0000)
S (0.6667, 0.3333, 0.5000)

calculated density: 11.17 g cm⁻³
final energy: -6.81 eV per atom


No. 12
The following is a DFT calculation (PBE) of a relaxed structure of Lu4PbSN2.

abc: 3.4792 3.4792 13.7101
angles: 90.00 90.00 120.00
Positions (direct):
Lu (0.6667, 0.3333, 0.1336)
Lu (0.0000, 0.0000, 0.3172)
Lu (0.0000, 0.0000, 0.6828)
Lu (0.6667, 0.3333, 0.8664)
N (0.3333, 0.6667, 0.2263)
N (0.3333, 0.6667, 0.7737)
Pb (0.6667, 0.3333, 0.5000)
S (0.0000, 0.0000, 0.0000)

calculated density: 11.17 g cm⁻³
final energy: -6.81 eV per atom